The following is a DFT calculation (PBE-GGA) of a geometry-optimized GeIBr structure.

## Properties
- crystal system = trigonal
- ΔE_f (raw) (kJ/mol of formula units) = -127
- symmetry = P3m1 (156)
- excess energy over the best structure of this formula in the dataset (eV/atom) = 0.0000
- density (Mg/m³) = 4.20
- calculated total energy (eV per atom) = -3.0517

```
GeIBr
1.0
4.183 0.000 0.000
-2.091 3.623 0.000
0.000 0.000 7.296
Ge I Br
1 1 1
direct
0.000 0.000 0.000
0.667 0.333 0.753
0.333 0.667 0.212
```

***

The following is a DFT calculation (PBE-GGA) of a geometry-optimized KTlCr2Te structure.

## Properties
- crystal system = tetragonal
- ΔE_f (raw) (kJ/mol of formula units) = 294
- symmetry = P4/mmm (123)
- density (Mg/m³) = 4.42
- calculated total energy (eV per atom) = -4.5617

```
KTlCr2Te
1.0
5.265 0.000 0.000
0.000 5.265 0.000
0.000 0.000 6.434
K Tl Cr Te
1 1 2 1
direct
0.000 0.000 0.000
0.500 0.500 0.000
0.000 0.500 0.500
0.500 0.000 0.500
0.000 0.000 0.500
```

***

The following is a DFT calculation (PBE-GGA) of a geometry-optimized Er2CS structure.

## Properties
- crystal system = trigonal
- ΔE_f (raw) (kJ/mol of formula units) = -477
- symmetry = R3m (160)
- density (Mg/m³) = 8.48
- calculated total energy (eV per atom) = -6.8551

```
Er2CS
1.0
1.820 1.051 6.466
-1.820 1.051 6.466
0.000 -2.101 6.466
Er C S
2 1 1
direct
0.000 0.000 0.000
0.196 0.196 0.196
0.599 0.599 0.599
0.430 0.430 0.430
```

***

The following is a DFT calculation (PBE-GGA) of a geometry-optimized Li2AgAu6 structure.

## Properties
- crystal system = hexagonal
- symmetry = P-62m (189)
- excess energy over the best structure of this formula in the dataset (eV/atom) = 0.0000
- density (Mg/m³) = 14.10
- formation energy from the elements (eV/atom) = -0.273
- calculated total energy (eV per atom) = -3.2000

```
Li2AgAu6
1.0
7.839 0.000 0.000
-3.919 6.788 0.000
0.000 0.000 2.885
Li Ag Au
2 1 6
direct
0.333 0.667 0.000
0.667 0.333 0.000
0.000 0.000 0.500
0.000 0.318 0.000
0.000 0.635 0.500
0.318 0.000 0.000
0.365 0.365 0.500
0.635 0.000 0.500
0.682 0.682 0.000
```

***

Q: density of number 1 (GeIBr)?
A: 4.20 Mg/m³